[1]
Here is a relaxed structure of Ga2Ni5Sn from the Alexandria database. Energies are from PBE.

Summary:
Energy of formation from the pure elements   -0.27 eV/atom
ρ   8.99 g/cm³
Raw total energy   -5.14 eV per atom

abc: 3.8014 3.8014 7.5447
angles: 104.59 104.59 90.00
Element x y z (fractional)
Ni  0.8672  0.3672  0.7344
Ni  0.6328  0.1328  0.2656
Ni  0.1328  0.6328  0.2656
Ni  0.3672  0.8672  0.7344
Ni  0.5000  0.5000  0.0000
Ga  0.7455  0.7455  0.4910
Ga  0.2545  0.2545  0.5090
Sn  0.0000  0.0000  0.0000

[2]
Here is a relaxed structure of BeRhAu2 from the Alexandria database. Energies are from PBE.

Summary:
Energy of formation from the pure elements   0.10 eV/atom
ρ   13.87 g/cm³
Raw total energy   -4.31 eV per atom

abc: 4.7337 4.7337 4.7337
angles: 130.13 130.13 73.20
Element x y z (fractional)
Be  0.2500  0.7500  0.5000
Au  0.0000  0.0000  0.0000
Au  0.5000  0.5000  0.0000
Rh  0.7500  0.2500  0.5000

[3]
Here is a relaxed structure of LiDyAlCo from the Alexandria database. Energies are from PBE.

Summary:
Energy of formation from the pure elements   -0.21 eV/atom
ρ   6.49 g/cm³
Raw total energy   -4.55 eV per atom

abc: 4.5217 4.5217 4.5217
angles: 60.00 60.00 60.00
Element x y z (fractional)
Dy  0.7500  0.7500  0.7500
Li  0.0000  0.0000  0.0000
Co  0.5000  0.5000  0.5000
Al  0.2500  0.2500  0.2500